Below is a geometry-optimized K4Ac3AsO8 structure, with properties calculated at the PBE-GGA level.

Cell and atoms, written as POSCAR:
```
K4Ac3AsO8
1.0
7.458 0.000 0.000
0.000 7.662 0.135
-3.729 -3.725 5.276
O Ac K As
8 3 4 1
direct
0.267 0.301 0.534
0.780 0.307 0.560
0.733 0.699 0.466
0.753 0.692 0.973
0.780 0.308 0.027
0.247 0.308 0.027
0.220 0.693 0.440
0.220 0.692 0.973
0.000 0.500 0.500
0.500 0.500 0.000
0.500 0.500 0.500
0.500 0.000 0.500
0.000 0.000 0.000
0.500 0.000 0.000
0.000 0.000 0.500
0.000 0.500 0.000
```

## Properties
For the total magnetization, the calculation gives 0.00 μB per cell. The value obtained for the density of states at the Fermi level is 0.000 states/eV/atom. Its final energy is -95.32 eV/cell. The uncorrected formation energy comes out at -2143 meV per atom.

Below is a geometry-optimized La3Pr2Er8 structure, with properties calculated at the PBE-GGA level.

Cell and atoms, written as POSCAR:
```
La3Pr2Er8
1.0
-5.064 1.721 -1.734
-2.107 -7.339 -1.129
-2.427 3.177 10.264
Er La Pr
8 3 2
direct
0.500 0.182 0.782
0.500 0.601 0.782
0.999 0.335 0.669
0.000 0.868 0.735
0.500 0.399 0.218
0.001 0.665 0.331
0.500 0.818 0.218
0.000 0.132 0.265
0.000 0.699 0.000
0.000 0.301 0.000
0.500 0.000 0.000
0.501 0.759 0.518
0.499 0.241 0.482
```

## Properties
For the total magnetization, the calculation gives 0.00 μB per cell. The value obtained for the density of states at the Fermi level is 1.862 states/eV/atom. For the offset from the most stable computed form, the calculation gives 288.7 kJ/mol of formula units. Its final energy is -57.48 eV/cell. The value obtained for the formation enthalpy at 0 K is 3.37 eV/f.u.

Below is a geometry-optimized LaYIr2 structure, with properties calculated at the PBE-GGA level.

Cell and atoms, written as POSCAR:
```
LaYIr2
1.0
5.668 0.012 0.021
4.774 3.055 0.021
0.866 0.254 4.984
Y La Ir
1 1 2
direct
0.274 0.274 0.185
0.479 0.479 0.560
0.719 0.719 0.713
0.028 0.028 0.041
```

## Properties
For the total magnetization, the calculation gives 0.00 μB per cell. The value obtained for the density of states at the Fermi level is 0.786 states/eV/atom. For the offset from the most stable computed form, the calculation gives 81.0 kJ/mol of formula units. Its final energy is -30.92 eV/cell. The value obtained for the formation enthalpy at 0 K is -1.81 eV/f.u.

Below is a geometry-optimized BaNa4Li structure, with properties calculated at the PBE-GGA level.

Cell and atoms, written as POSCAR:
```
BaNa4Li
1.0
3.891 0.000 -1.029
0.000 7.157 0.000
2.361 0.000 16.791
Na Ba Li
8 2 2
direct
0.351 0.250 0.702
0.793 0.523 0.587
0.000 0.000 0.000
0.793 0.977 0.587
0.207 0.023 0.413
0.649 0.750 0.298
0.207 0.477 0.413
0.000 0.500 0.000
0.599 0.250 0.198
0.401 0.750 0.802
0.078 0.750 0.157
0.922 0.250 0.843
```

## Properties
For the total magnetization, the calculation gives 0.00 μB per cell. The value obtained for the density of states at the Fermi level is 0.743 states/eV/atom. For the offset from the most stable computed form, the calculation gives 22.6 kJ/mol of formula units. Its final energy is -17.05 eV/cell. The value obtained for the formation enthalpy at 0 K is 0.59 eV/f.u.

Below is a geometry-optimized TlCdRu2O8 structure, with properties calculated at the PBE-GGA level.

Cell and atoms, written as POSCAR:
```
TlCdRu2O8
1.0
5.498 0.000 0.000
2.749 4.761 0.000
2.749 1.587 8.012
O Ru Cd Tl
8 2 1 1
direct
0.270 0.973 0.169
0.730 0.027 0.831
0.589 0.270 0.169
0.181 0.181 0.457
0.973 0.589 0.169
0.411 0.730 0.831
0.027 0.411 0.831
0.819 0.819 0.543
0.746 0.746 0.762
0.254 0.254 0.238
0.000 0.000 0.000
0.500 0.500 0.500
```

## Properties
For the total magnetization, the calculation gives 3.03 μB per cell. The value obtained for the density of states at the Fermi level is 0.788 states/eV/atom. Its final energy is -70.71 eV/cell. The uncorrected formation energy comes out at -767 meV per atom.

Below is a geometry-optimized Hg3TeBr4 structure, with properties calculated at the PBE-GGA level.

Cell and atoms, written as POSCAR:
```
Hg3TeBr4
1.0
13.002 0.000 0.000
0.000 13.097 0.000
0.000 0.000 13.285
Hg Br Te
24 32 8
direct
0.115 0.596 0.311
0.684 0.316 0.268
0.234 0.584 0.015
0.385 0.404 0.811
0.266 0.084 0.015
0.385 0.096 0.311
0.734 0.916 0.985
0.734 0.584 0.485
0.816 0.816 0.268
0.115 0.904 0.811
0.766 0.084 0.485
0.234 0.916 0.515
0.316 0.816 0.232
0.184 0.316 0.232
0.615 0.904 0.689
0.316 0.684 0.732
0.816 0.684 0.768
0.266 0.416 0.515
0.184 0.184 0.732
0.684 0.184 0.768
0.615 0.596 0.189
0.766 0.416 0.985
0.885 0.404 0.689
0.885 0.096 0.189
0.942 0.412 0.902
0.667 0.102 0.273
0.167 0.102 0.227
0.737 0.160 0.954
0.558 0.912 0.902
0.558 0.588 0.402
0.333 0.602 0.227
0.903 0.293 0.182
0.058 0.912 0.598
0.833 0.602 0.273
0.058 0.588 0.098
0.333 0.898 0.727
0.763 0.840 0.454
0.263 0.660 0.546
0.237 0.160 0.546
0.097 0.707 0.818
0.903 0.207 0.682
0.833 0.898 0.773
0.442 0.088 0.098
0.597 0.793 0.182
0.237 0.340 0.046
0.737 0.340 0.454
0.167 0.398 0.727
0.403 0.293 0.318
0.263 0.840 0.046
0.403 0.207 0.818
0.763 0.660 0.954
0.597 0.707 0.682
0.942 0.088 0.402
0.442 0.412 0.598
0.097 0.793 0.318
0.667 0.398 0.773
0.404 0.592 0.896
0.596 0.408 0.104
0.096 0.408 0.396
0.404 0.908 0.396
0.904 0.592 0.604
0.904 0.908 0.104
0.096 0.092 0.896
0.596 0.092 0.604
```

## Properties
For the total magnetization, the calculation gives 0.00 μB per cell. The value obtained for the density of states at the Fermi level is 0.000 states/eV/atom. For the offset from the most stable computed form, the calculation gives 0.0 kJ/mol of formula units. Its final energy is -111.65 eV/cell. The uncorrected formation energy comes out at -402 meV per atom.

Going through the records in order, we get calculated volume values of 19.08; 34.44; 21.49; 40.42; 17.48; 35.35 Å³ per atom.